Entry 1:
First-principles (PBE) data for a geometry-optimized Y2CdPb structure, as listed in Alexandria via LeMat-Bulk.

Geometry as POSCAR:
```
Y2CdPb
1.0
-2.4997 2.4997 4.3168
2.4997 -2.4997 4.3168
2.4997 2.4997 -4.3168
Y Cd Pb
2 1 1
Cartesian
2.4997 0.0000 2.1584
0.0000 2.4997 2.1584
0.0000 0.0000 0.0000
0.0000 0.0000 4.3168
```

Summary:
V	26.97	A^3/atom
calculated formation energy	-0.414	eV/atom
SG	No. 139

Entry 2:
First-principles (PBE) data for a geometry-optimized Y2Cd3Pb3 structure, as listed in Alexandria via LeMat-Bulk.

Geometry as POSCAR:
```
Y2Cd3Pb3
1.0
4.6789 0.0000 0.0000
0.0000 4.8980 0.0000
0.0000 0.0000 9.1297
Y Cd Pb
2 3 3
Cartesian
0.0000 0.0000 2.2866
0.0000 0.0000 6.8431
0.0000 2.4490 0.0000
2.3394 2.4490 2.1593
2.3394 2.4490 6.9704
0.0000 2.4490 4.5649
2.3394 0.0000 0.0000
2.3394 0.0000 4.5649
```

Summary:
V	26.15	A^3/atom
calculated formation energy	-0.332	eV/atom
SG	No. 47

Entry 3:
First-principles (PBE) data for a geometry-optimized Y2Cd2Pb structure, as listed in Alexandria via LeMat-Bulk.

Geometry as POSCAR:
```
Y2Cd2Pb
1.0
7.6501 0.0000 0.0000
0.0000 7.6501 0.0000
0.0000 0.0000 4.6331
Y Cd Pb
4 4 2
Cartesian
1.2901 2.5350 0.0000
2.5350 6.3601 0.0000
5.1152 1.2901 0.0000
6.3601 5.1152 0.0000
0.9837 4.8088 2.3165
2.8413 0.9837 2.3165
4.8088 6.6664 2.3165
6.6664 2.8413 2.3165
0.0000 0.0000 2.3165
3.8251 3.8251 2.3165
```

Summary:
V	27.11	A^3/atom
calculated formation energy	-0.315	eV/atom
SG	No. 127

Entry 4:
First-principles (PBE) data for a geometry-optimized Y2CdPb2 structure, as listed in Alexandria via LeMat-Bulk.

Geometry as POSCAR:
```
Y2CdPb2
1.0
4.9194 0.0000 0.0000
-2.4597 4.2603 0.0000
0.0000 0.0000 13.6898
Y Cd Pb
4 2 4
Cartesian
0.0000 2.8402 1.4385
0.0000 2.8402 5.4064
2.4597 1.4201 8.2834
2.4597 1.4201 12.2513
0.0000 0.0000 3.4224
0.0000 0.0000 10.2673
0.0000 0.0000 0.0000
0.0000 0.0000 6.8449
0.0000 2.8402 10.2673
2.4597 1.4201 3.4224
```

Summary:
V	28.69	A^3/atom
calculated formation energy	-0.359	eV/atom
SG	No. 194

Entry 5:
First-principles (PBE) data for a geometry-optimized YCdPb2 structure, as listed in Alexandria via LeMat-Bulk.

Geometry as POSCAR:
```
YCdPb2
1.0
4.1806 0.0000 0.0000
0.0000 4.1806 0.0000
0.0000 0.0000 6.4628
Y Cd Pb
1 1 2
Cartesian
0.0000 0.0000 0.0000
2.0903 2.0903 1.7034
0.0000 0.0000 3.2077
2.0903 2.0903 4.9696
```

Summary:
V	28.24	A^3/atom
calculated formation energy	-0.172	eV/atom
SG	No. 99

Entry 6:
First-principles (PBE) data for a geometry-optimized YZn2CdPb structure, as listed in Alexandria via LeMat-Bulk.

Geometry as POSCAR:
```
YZn2CdPb
1.0
5.5672 0.0000 0.0000
0.0000 5.5672 0.0000
0.0000 0.0000 6.0005
Y Zn Cd Pb
1 2 1 1
Cartesian
0.0000 0.0000 0.0000
0.0000 2.7836 0.0000
2.7836 0.0000 0.0000
2.7836 2.7836 3.0003
0.0000 0.0000 3.0003
```

Summary:
V	37.20	A^3/atom
calculated formation energy	0.685	eV/atom
SG	No. 123

Entry 7:
First-principles (PBE) data for a geometry-optimized Yb2CdPb structure, as listed in Alexandria via LeMat-Bulk.

Geometry as POSCAR:
```
Yb2CdPb
1.0
0.0000 3.8384 3.8384
3.8384 0.0000 3.8384
3.8384 3.8384 0.0000
Yb Cd Pb
2 1 1
Cartesian
1.9192 1.9192 1.9192
5.7575 5.7575 5.7575
0.0000 0.0000 0.0000
3.8384 3.8384 3.8384
```

Summary:
V	28.28	A^3/atom
calculated formation energy	-0.530	eV/atom
SG	No. 225

Entry 8:
First-principles (PBE) data for a geometry-optimized Zn2CdPb structure, as listed in Alexandria via LeMat-Bulk.

Geometry as POSCAR:
```
Zn2CdPb
1.0
-2.2479 2.2479 9.4353
2.2479 -2.2479 9.4353
2.2479 2.2479 -9.4353
Zn Cd Pb
4 2 2
Cartesian
3.3719 0.8274 -2.3588
0.8274 1.1240 2.3588
-1.1240 1.4205 7.0765
1.4205 1.1240 11.7941
0.0000 0.0000 0.0000
0.0000 2.2479 4.7176
2.2479 0.0000 4.7176
0.0000 0.0000 9.4353
```

Summary:
V	23.84	A^3/atom
calculated formation energy	0.186	eV/atom
SG	No. 122

Entry 9:
First-principles (PBE) data for a geometry-optimized ZnCd2Pb structure, as listed in Alexandria via LeMat-Bulk.

Geometry as POSCAR:
```
ZnCd2Pb
1.0
-1.5896 2.7599 5.4177
1.5896 -2.7599 5.4177
1.5896 2.7599 -5.4177
Zn Cd Pb
1 2 1
Cartesian
0.0000 0.0000 0.0000
1.5896 0.0000 2.4120
0.0000 2.7599 3.0057
0.0000 0.0000 5.4177
```

Summary:
V	23.77	A^3/atom
calculated formation energy	0.101	eV/atom
SG	No. 71

Entry 10:
First-principles (PBE) data for a geometry-optimized ZnCd2Pb2 structure, as listed in Alexandria via LeMat-Bulk.

Geometry as POSCAR:
```
ZnCd2Pb2
1.0
7.8128 0.0000 0.0000
0.0000 7.8128 0.0000
0.0000 0.0000 4.6073
Zn Cd Pb
2 4 4
Cartesian
0.0000 0.0000 0.0000
3.9064 3.9064 0.0000
1.1122 2.7942 2.3036
2.7942 6.7006 2.3036
5.0186 1.1122 2.3036
6.7006 5.0186 2.3036
1.2860 5.1924 0.0000
2.6204 1.2860 0.0000
5.1924 6.5268 0.0000
6.5268 2.6204 0.0000
```

Summary:
V	28.12	A^3/atom
calculated formation energy	0.184	eV/atom
SG	No. 127

Entry 11:
First-principles (PBE) data for a geometry-optimized ZnCd2Pb structure, as listed in Alexandria via LeMat-Bulk.

Geometry as POSCAR:
```
ZnCd2Pb
1.0
0.0000 3.6469 3.6469
3.6469 0.0000 3.6469
3.6469 3.6469 0.0000
Zn Cd Pb
1 2 1
Cartesian
0.0000 0.0000 0.0000
1.8235 1.8235 1.8235
5.4704 5.4704 5.4704
3.6469 3.6469 3.6469
```

Summary:
V	24.25	A^3/atom
calculated formation energy	0.176	eV/atom
SG	No. 225

Entry 12:
First-principles (PBE) data for a geometry-optimized Zn2CdPb structure, as listed in Alexandria via LeMat-Bulk.

Geometry as POSCAR:
```
Zn2CdPb
1.0
-2.0919 2.4964 4.2555
2.0919 -2.4964 4.2555
2.0919 2.4964 -4.2555
Zn Cd Pb
2 1 1
Cartesian
0.0000 0.0000 2.0575
0.0000 0.0000 6.4535
2.0919 0.0000 0.0000
0.0000 2.4964 0.0000
```

Summary:
V	22.22	A^3/atom
calculated formation energy	0.170	eV/atom
SG	No. 71

Entry 13:
First-principles (PBE) data for a geometry-optimized Zn2CdPb structure, as listed in Alexandria via LeMat-Bulk.

Geometry as POSCAR:
```
Zn2CdPb
1.0
4.6168 0.0000 0.0000
0.0000 4.6168 0.0000
0.0000 0.0000 4.1391
Zn Cd Pb
2 1 1
Cartesian
0.0000 2.3084 0.0000
2.3084 0.0000 0.0000
0.0000 0.0000 2.0696
2.3084 2.3084 2.0696
```

Summary:
V	22.06	A^3/atom
calculated formation energy	0.167	eV/atom
SG	No. 123

Entry 14:
First-principles (PBE) data for a geometry-optimized ZnCd2Pb structure, as listed in Alexandria via LeMat-Bulk.

Geometry as POSCAR:
```
ZnCd2Pb
1.0
-2.3048 2.3048 4.4768
2.3048 -2.3048 4.4768
2.3048 2.3048 -4.4768
Zn Cd Pb
1 2 1
Cartesian
0.0000 0.0000 0.0000
0.0000 0.0000 4.4768
0.0000 2.3048 2.2384
2.3048 0.0000 2.2384
```

Summary:
V	23.78	A^3/atom
calculated formation energy	0.124	eV/atom
SG	No. 119

Entry 15:
First-principles (PBE) data for a geometry-optimized ZnCd2Pb structure, as listed in Alexandria via LeMat-Bulk.

Geometry as POSCAR:
```
ZnCd2Pb
1.0
3.6032 0.0000 0.0000
0.0000 4.8028 0.0000
-1.2773 0.0000 5.6061
Zn Cd Pb
1 2 1
Cartesian
0.0000 0.0000 0.0000
-0.4223 2.4014 4.3431
2.7482 2.4014 1.2630
1.1630 0.0000 2.8030
```

Summary:
V	24.25	A^3/atom
calculated formation energy	0.100	eV/atom
SG	No. 10

Entry 16:
First-principles (PBE) data for a geometry-optimized ZnCd2Pb structure, as listed in Alexandria via LeMat-Bulk.

Geometry as POSCAR:
```
ZnCd2Pb
1.0
3.5820 0.0000 0.0000
0.0000 4.6557 0.0000
-1.1604 0.0000 5.7766
Zn Cd Pb
1 2 1
Cartesian
0.0000 0.0000 0.0000
0.1492 2.3279 1.6959
2.0908 0.0000 2.7261
0.7102 2.3279 4.7397
```

Summary:
V	24.08	A^3/atom
calculated formation energy	0.102	eV/atom
SG	No. 6

Entry 17:
First-principles (PBE) data for a geometry-optimized Zn2CdPb structure, as listed in Alexandria via LeMat-Bulk.

Geometry as POSCAR:
```
Zn2CdPb
1.0
3.9058 0.0000 0.0000
0.0000 4.2856 0.0000
-1.8732 0.0000 5.2883
Zn Cd Pb
2 1 1
Cartesian
0.0000 0.0000 0.0000
-0.0138 2.1428 1.4875
1.9615 0.0000 2.3234
0.0728 2.1428 4.3645
```

Summary:
V	22.13	A^3/atom
calculated formation energy	0.109	eV/atom
SG	No. 6

Entry 18:
First-principles (PBE) data for a geometry-optimized ZnCd2Pb structure, as listed in Alexandria via LeMat-Bulk.

Geometry as POSCAR:
```
ZnCd2Pb
1.0
1.7567 -2.8024 0.0000
1.7567 2.8024 0.0000
0.0000 0.0000 9.9129
Zn Cd Pb
1 2 1
Cartesian
0.0000 0.0000 0.0000
1.7567 0.0000 2.1636
1.7567 0.0000 7.7493
0.0000 0.0000 4.9565
```

Summary:
V	24.40	A^3/atom
calculated formation energy	0.127	eV/atom
SG	No. 65

Entry 19:
First-principles (PBE) data for a geometry-optimized ZnCd4Pb structure, as listed in Alexandria via LeMat-Bulk.

Geometry as POSCAR:
```
ZnCd4Pb
1.0
0.0000 4.1942 4.1942
4.1942 0.0000 4.1942
4.1942 4.1942 0.0000
Zn Cd Pb
1 4 1
Cartesian
0.0000 0.0000 0.0000
5.2464 3.1420 3.1420
3.1420 5.2464 3.1420
3.1420 3.1420 5.2464
5.2464 5.2464 5.2464
2.0971 2.0971 2.0971
```

Summary:
V	24.59	A^3/atom
calculated formation energy	0.145	eV/atom
SG	No. 216

Entry 20:
First-principles (PBE) data for a geometry-optimized ZnCdPb structure, as listed in Alexandria via LeMat-Bulk.

Geometry as POSCAR:
```
ZnCdPb
1.0
4.8582 0.0000 0.0000
-2.4291 4.2073 0.0000
0.0000 0.0000 3.5930
Zn Cd Pb
1 1 1
Cartesian
0.0000 0.0000 0.0000
2.4291 1.4024 3.5676
0.0000 2.8049 1.7782
```

Summary:
V	24.48	A^3/atom
calculated formation energy	0.136	eV/atom
SG	No. 156

Entry 21:
First-principles (PBE) data for a geometry-optimized ZnCd2Pb structure, as listed in Alexandria via LeMat-Bulk.

Geometry as POSCAR:
```
ZnCd2Pb
1.0
4.5234 0.0000 0.0000
0.0000 4.5234 0.0000
0.0000 0.0000 4.6440
Zn Cd Pb
1 2 1
Cartesian
0.0000 0.0000 0.0000
0.0000 2.2617 2.3220
2.2617 0.0000 2.3220
2.2617 2.2617 0.0000
```

Summary:
V	23.76	A^3/atom
calculated formation energy	0.113	eV/atom
SG	No. 123

Entry 22:
First-principles (PBE) data for a geometry-optimized Zn2CdPb structure, as listed in Alexandria via LeMat-Bulk.

Geometry as POSCAR:
```
Zn2CdPb
1.0
3.7284 0.0000 0.0000
0.0000 3.7284 0.0000
0.0000 0.0000 6.4461
Zn Cd Pb
2 1 1
Cartesian
0.0000 0.0000 1.3756
0.0000 0.0000 5.0706
1.8642 1.8642 0.0000
1.8642 1.8642 3.2231
```

Summary:
V	22.40	A^3/atom
calculated formation energy	0.156	eV/atom
SG	No. 123

Entry 23:
First-principles (PBE) data for a geometry-optimized Zn2CdPb structure, as listed in Alexandria via LeMat-Bulk.

Geometry as POSCAR:
```
Zn2CdPb
1.0
0.0000 3.5378 3.5378
3.5378 0.0000 3.5378
3.5378 3.5378 0.0000
Zn Cd Pb
2 1 1
Cartesian
1.7689 1.7689 1.7689
5.3066 5.3066 5.3066
0.0000 0.0000 0.0000
3.5378 3.5378 3.5378
```

Summary:
V	22.14	A^3/atom
calculated formation energy	0.185	eV/atom
SG	No. 225

Entry 24:
First-principles (PBE) data for a geometry-optimized ZnCd2Pb2 structure, as listed in Alexandria via LeMat-Bulk.

Geometry as POSCAR:
```
ZnCd2Pb2
1.0
-2.0035 2.0035 8.6069
2.0035 -2.0035 8.6069
2.0035 2.0035 -8.6069
Zn Cd Pb
1 2 2
Cartesian
0.0000 0.0000 0.0000
2.0035 0.0000 4.3034
0.0000 2.0035 4.3034
0.0000 0.0000 6.9346
0.0000 0.0000 10.2791
```

Summary:
V	27.64	A^3/atom
calculated formation energy	0.187	eV/atom
SG	No. 139

Entry 25:
First-principles (PBE) data for a geometry-optimized Zn2CdPb structure, as listed in Alexandria via LeMat-Bulk.

Geometry as POSCAR:
```
Zn2CdPb
1.0
4.4823 -1.7146 0.0000
4.4823 1.7146 0.0000
-1.2200 0.0000 5.8024
Zn Cd Pb
2 1 1
Cartesian
1.9433 0.0000 1.1555
5.8014 0.0000 4.6469
4.4823 0.0000 0.0000
-0.6100 0.0000 2.9012
```

Summary:
V	22.30	A^3/atom
calculated formation energy	0.136	eV/atom
SG	No. 12

Entry 26:
First-principles (PBE) data for a geometry-optimized ZnCdPb structure, as listed in Alexandria via LeMat-Bulk.

Geometry as POSCAR:
```
ZnCdPb
1.0
-1.6873 1.6873 6.2492
1.6873 -1.6873 6.2492
1.6873 1.6873 -6.2492
Zn Cd Pb
1 1 1
Cartesian
0.0000 0.0000 0.0000
0.0000 0.0000 7.9247
0.0000 0.0000 4.1379
```

Summary:
V	23.72	A^3/atom
calculated formation energy	0.115	eV/atom
SG	No. 107

Entry 27:
First-principles (PBE) data for a geometry-optimized Zn2CdPb2 structure, as listed in Alexandria via LeMat-Bulk.

Geometry as POSCAR:
```
Zn2CdPb2
1.0
-2.3721 2.3721 5.9316
2.3721 -2.3721 5.9316
2.3721 2.3721 -5.9316
Zn Cd Pb
2 1 2
Cartesian
0.0000 0.0000 1.1947
0.0000 0.0000 10.6684
0.0000 0.0000 5.9316
2.3721 0.0000 2.9658
0.0000 2.3721 2.9658
```

Summary:
V	26.70	A^3/atom
calculated formation energy	0.219	eV/atom
SG	No. 139

Entry 28:
First-principles (PBE) data for a geometry-optimized Zn2Cd9Pb structure, as listed in Alexandria via LeMat-Bulk.

Geometry as POSCAR:
```
Zn2Cd9Pb
1.0
-5.9888 5.9888 3.7796
5.9888 -5.9888 3.7796
5.9888 5.9888 -3.7796
Zn Cd Pb
4 18 2
Cartesian
0.0000 0.0000 0.0000
2.9944 2.9944 -1.8898
2.9944 -2.9944 1.8898
0.0000 5.9888 0.0000
4.5393 -0.6380 1.3353
7.4382 -0.6380 1.3353
5.9888 -2.9944 2.8347
2.3564 1.5449 0.5545
9.6211 1.5449 0.5545
4.5393 5.3508 -1.3353
1.4494 -0.6380 2.4443
2.3564 4.4438 0.5545
3.6323 -1.5449 4.3340
2.3564 7.5337 -0.5545
3.6323 1.5449 3.2251
4.5393 6.6267 1.3353
1.4494 0.6380 5.1149
-3.6323 4.4438 3.2251
3.6323 4.4438 3.2251
0.0000 8.9831 0.9449
-1.4494 6.6267 2.4443
1.4494 6.6267 2.4443
5.9888 2.9944 0.9449
0.0000 2.9944 2.8347
```

Summary:
V	22.59	A^3/atom
calculated formation energy	0.063	eV/atom
SG	No. 141

Number 1: calculated total energy -4.802 eV/atom. Number 2: calculated total energy -3.682 eV/atom. Number 3: calculated total energy -4.008 eV/atom. Number 4: calculated total energy -4.611 eV/atom. Number 5: calculated total energy -3.871 eV/atom. Number 6: calculated total energy -2.042 eV/atom. Number 7: calculated total energy -2.449 eV/atom. Number 8: calculated total energy -1.607 eV/atom. Number 9: calculated total energy -1.602 eV/atom. Number 10: calculated total energy -1.921 eV/atom. Number 11: calculated total energy -1.527 eV/atom. Number 12: calculated total energy -1.622 eV/atom. Number 13: calculated total energy -1.626 eV/atom. Number 14: calculated total energy -1.580 eV/atom. Number 15: calculated total energy -1.604 eV/atom. Number 16: calculated total energy -1.601 eV/atom. Number 17: calculated total energy -1.684 eV/atom. Number 18: calculated total energy -1.576 eV/atom. Number 19: calculated total energy -1.296 eV/atom. Number 20: calculated total energy -1.830 eV/atom. Number 21: calculated total energy -1.590 eV/atom. Number 22: calculated total energy -1.637 eV/atom. Number 23: calculated total energy -1.608 eV/atom. Number 24: calculated total energy -1.917 eV/atom. Number 25: calculated total energy -1.657 eV/atom. Number 26: calculated total energy -1.851 eV/atom. Number 27: calculated total energy -1.957 eV/atom. Number 28: calculated total energy -1.145 eV/atom.